[1]
This record from the Alexandria database describes a relaxed TbGa2Ni6 crystal. The functional is PBE.

Cell and atoms, written as POSCAR:
```
TbGa2Ni6
1.0
0.000 5.258 5.258
5.258 0.000 5.258
5.258 5.258 0.000
Tb Ga Ni
2 4 12
direct
0.125 0.125 0.125
0.875 0.875 0.875
0.000 0.500 0.500
0.500 0.000 0.500
0.500 0.500 0.000
0.500 0.500 0.500
0.120 0.120 0.630
0.120 0.630 0.120
0.120 0.630 0.630
0.370 0.370 0.880
0.370 0.880 0.370
0.370 0.880 0.880
0.630 0.120 0.120
0.630 0.120 0.630
0.630 0.630 0.120
0.880 0.370 0.370
0.880 0.370 0.880
0.880 0.880 0.370
```

Output
ΔE_f: 0.17 eV/atom
crystal system: cubic

---

[2]
This record from the Alexandria database describes a relaxed Tb2Ga3Ni crystal. The functional is PBE.

Cell and atoms, written as POSCAR:
```
Tb2Ga3Ni
1.0
5.124 -2.186 0.000
5.124 2.186 0.000
-4.879 0.000 5.227
Tb Ga Ni
2 3 1
direct
0.000 0.000 0.000
0.086 0.086 0.588
0.376 0.376 0.198
0.688 0.688 0.976
0.716 0.716 0.413
0.371 0.371 0.570
```

Output
ΔE_f: -0.65 eV/atom
crystal system: monoclinic

---

[3]
This record from the Alexandria database describes a relaxed TbGa2Ni3 crystal. The functional is PBE.

Cell and atoms, written as POSCAR:
```
TbGa2Ni3
1.0
8.793 0.000 0.000
-4.396 7.615 0.000
0.000 0.000 4.095
Tb Ga Ni
3 6 9
direct
0.000 0.000 0.000
0.333 0.667 0.500
0.667 0.333 0.500
0.000 0.478 0.000
0.000 0.728 0.500
0.272 0.272 0.500
0.478 0.000 0.000
0.522 0.522 0.000
0.728 0.000 0.500
0.000 0.291 0.500
0.172 0.798 0.000
0.202 0.374 0.000
0.291 0.000 0.500
0.374 0.202 0.000
0.626 0.828 0.000
0.709 0.709 0.500
0.798 0.172 0.000
0.828 0.626 0.000
```

Output
ΔE_f: -0.56 eV/atom
crystal system: hexagonal

---

[4]
This record from the Alexandria database describes a relaxed Tb12GaNi6 crystal. The functional is PBE.

Cell and atoms, written as POSCAR:
```
Tb12GaNi6
1.0
-4.846 4.846 4.846
4.846 -4.846 4.846
4.846 4.846 -4.846
Tb Ga Ni
12 1 6
direct
0.115 0.814 0.302
0.186 0.302 0.488
0.186 0.698 0.885
0.302 0.115 0.814
0.302 0.488 0.186
0.488 0.186 0.302
0.512 0.814 0.698
0.698 0.512 0.814
0.698 0.885 0.186
0.814 0.302 0.115
0.814 0.698 0.512
0.885 0.186 0.698
0.000 0.000 0.000
0.124 0.624 0.500
0.376 0.500 0.876
0.500 0.124 0.624
0.500 0.876 0.376
0.624 0.500 0.124
0.876 0.376 0.500
```

Output
ΔE_f: -0.35 eV/atom
crystal system: cubic
distance to the lowest polymorph of the same formula: 0 meV/atom

---

[5]
This record from the Alexandria database describes a relaxed Tb3GaNi3 crystal. The functional is PBE.

Cell and atoms, written as POSCAR:
```
Tb3GaNi3
1.0
8.236 0.000 0.000
-4.118 7.132 0.000
0.000 0.000 5.435
Tb Ga Ni
6 2 6
direct
0.050 0.700 0.250
0.300 0.350 0.250
0.350 0.050 0.750
0.650 0.950 0.250
0.700 0.650 0.750
0.950 0.300 0.750
0.333 0.667 0.750
0.667 0.333 0.250
0.052 0.678 0.750
0.322 0.374 0.750
0.374 0.052 0.250
0.626 0.948 0.750
0.678 0.626 0.250
0.948 0.322 0.250
```

Output
ΔE_f: -0.21 eV/atom
crystal system: hexagonal
distance to the lowest polymorph of the same formula: 308 meV/atom

---

[6]
This record from the Alexandria database describes a relaxed TbGa2Ni3 crystal. The functional is PBE.

Cell and atoms, written as POSCAR:
```
TbGa2Ni3
1.0
8.941 0.000 0.000
-4.470 7.743 0.000
0.000 0.000 3.939
Tb Ga Ni
3 6 9
direct
0.000 0.000 0.000
0.333 0.667 0.500
0.667 0.333 0.500
0.000 0.318 0.500
0.000 0.682 0.500
0.318 0.000 0.500
0.318 0.318 0.500
0.682 0.000 0.500
0.682 0.682 0.500
0.000 0.500 0.000
0.179 0.358 0.000
0.179 0.821 0.000
0.358 0.179 0.000
0.500 0.000 0.000
0.500 0.500 0.000
0.642 0.821 0.000
0.821 0.179 0.000
0.821 0.642 0.000
```

Output
ΔE_f: -0.55 eV/atom
crystal system: hexagonal

---

[7]
This record from the Alexandria database describes a relaxed Tb2GaNi9 crystal. The functional is PBE.

Cell and atoms, written as POSCAR:
```
Tb2GaNi9
1.0
2.446 1.412 8.082
-2.446 1.412 8.082
0.000 -2.824 8.082
Tb Ga Ni
2 1 9
direct
0.135 0.135 0.135
0.865 0.865 0.865
0.000 0.000 0.000
0.081 0.582 0.582
0.333 0.333 0.333
0.418 0.418 0.919
0.418 0.919 0.418
0.500 0.500 0.500
0.582 0.081 0.582
0.582 0.582 0.081
0.667 0.667 0.667
0.919 0.418 0.418
```

Output
ΔE_f: -0.22 eV/atom
crystal system: trigonal

---

[8]
This record from the Alexandria database describes a relaxed Tb2GaNi16 crystal. The functional is PBE.

Cell and atoms, written as POSCAR:
```
Tb2GaNi16
1.0
4.152 2.397 4.052
-4.152 2.397 4.052
0.000 -4.794 4.052
Tb Ga Ni
2 1 16
direct
0.000 0.000 0.000
0.314 0.314 0.314
0.567 0.567 0.567
0.004 0.004 0.505
0.004 0.505 0.004
0.160 0.659 0.659
0.314 0.314 0.814
0.314 0.814 0.314
0.363 0.660 0.957
0.363 0.957 0.660
0.505 0.004 0.004
0.659 0.160 0.659
0.659 0.659 0.160
0.660 0.363 0.957
0.660 0.957 0.363
0.761 0.761 0.761
0.814 0.314 0.314
0.957 0.363 0.660
0.957 0.660 0.363
```

Output
ΔE_f: -0.25 eV/atom
crystal system: trigonal

---

[9]
This record from the Alexandria database describes a relaxed Tb3Ga4Ni2 crystal. The functional is PBE.

Cell and atoms, written as POSCAR:
```
Tb3Ga4Ni2
1.0
5.208 -2.155 0.000
5.208 2.155 0.000
-2.492 0.000 7.901
Tb Ga Ni
3 4 2
direct
0.000 0.000 0.000
0.371 0.371 0.313
0.629 0.629 0.687
0.103 0.103 0.413
0.279 0.279 0.926
0.721 0.721 0.074
0.897 0.897 0.587
0.333 0.333 0.664
0.667 0.667 0.336
```

Output
ΔE_f: -0.61 eV/atom
crystal system: monoclinic

---

[10]
This record from the Alexandria database describes a relaxed Tb3Ga3Ni2 crystal. The functional is PBE.

Cell and atoms, written as POSCAR:
```
Tb3Ga3Ni2
1.0
7.888 0.000 0.000
0.000 14.711 0.000
0.000 0.000 5.472
Tb Ga Ni
12 12 8
direct
0.042 0.109 0.123
0.042 0.391 0.123
0.186 0.250 0.628
0.314 0.750 0.128
0.458 0.609 0.623
0.458 0.891 0.623
0.542 0.109 0.377
0.542 0.391 0.377
0.686 0.250 0.872
0.814 0.750 0.372
0.958 0.609 0.877
0.958 0.891 0.877
0.162 0.750 0.615
0.185 0.038 0.616
0.185 0.462 0.616
0.315 0.538 0.116
0.315 0.962 0.116
0.338 0.250 0.115
0.662 0.750 0.885
0.685 0.038 0.884
0.685 0.462 0.884
0.815 0.538 0.384
0.815 0.962 0.384
0.838 0.250 0.385
0.100 0.605 0.379
0.100 0.895 0.379
0.400 0.105 0.879
0.400 0.395 0.879
0.600 0.605 0.121
0.600 0.895 0.121
0.900 0.105 0.621
0.900 0.395 0.621
```

Output
ΔE_f: -0.60 eV/atom
crystal system: orthorhombic

---

[11]
This record from the Alexandria database describes a relaxed Tb2GaNi crystal. The functional is PBE.

Cell and atoms, written as POSCAR:
```
Tb2GaNi
1.0
3.444 0.000 0.000
0.000 3.444 0.000
0.000 0.000 7.209
Tb Ga Ni
2 1 1
direct
0.000 0.000 0.231
0.000 0.000 0.769
0.500 0.500 0.500
0.500 0.500 0.000
```

Output
ΔE_f: -0.47 eV/atom
crystal system: tetragonal

---

[12]
This record from the Alexandria database describes a relaxed TbGa2Ni crystal. The functional is PBE.

Cell and atoms, written as POSCAR:
```
TbGa2Ni
1.0
4.131 0.000 0.000
0.000 6.687 0.000
-2.037 0.000 5.091
Tb Ga Ni
2 4 2
direct
0.072 0.250 0.142
0.928 0.750 0.858
0.355 0.054 0.709
0.355 0.446 0.709
0.645 0.554 0.291
0.645 0.946 0.291
0.210 0.750 0.422
0.790 0.250 0.578
```

Output
ΔE_f: -0.65 eV/atom
crystal system: monoclinic

---

[13]
This record from the Alexandria database describes a relaxed TbGa5Ni3 crystal. The functional is PBE.

Cell and atoms, written as POSCAR:
```
TbGa5Ni3
1.0
1.950 -6.165 0.000
1.950 6.165 0.000
0.000 0.000 12.264
Tb Ga Ni
2 10 6
direct
0.168 0.832 0.750
0.832 0.168 0.250
0.000 0.000 0.000
0.000 0.000 0.500
0.206 0.794 0.067
0.206 0.794 0.433
0.445 0.555 0.652
0.445 0.555 0.848
0.555 0.445 0.152
0.555 0.445 0.348
0.794 0.206 0.567
0.794 0.206 0.933
0.134 0.866 0.250
0.394 0.606 0.040
0.394 0.606 0.460
0.606 0.394 0.540
0.606 0.394 0.960
0.866 0.134 0.750
```

Output
ΔE_f: -0.38 eV/atom
crystal system: orthorhombic

---

[14]
This record from the Alexandria database describes a relaxed Tb2Ga3Ni crystal. The functional is PBE.

Cell and atoms, written as POSCAR:
```
Tb2Ga3Ni
1.0
3.674 0.000 0.000
0.000 4.304 0.000
0.000 0.000 7.550
Tb Ga Ni
2 3 1
direct
0.000 0.000 0.000
0.000 0.500 0.470
0.500 0.000 0.639
0.500 0.500 0.158
0.500 0.500 0.819
0.500 0.000 0.315
```

Output
ΔE_f: -0.64 eV/atom
crystal system: orthorhombic

---

[15]
This record from the Alexandria database describes a relaxed Tb2Ga4Ni5 crystal. The functional is PBE.

Cell and atoms, written as POSCAR:
```
Tb2Ga4Ni5
1.0
0.000 4.527 7.388
2.655 0.000 7.388
2.655 4.527 0.000
Tb Ga Ni
2 4 5
direct
0.132 0.132 0.868
0.868 0.868 0.132
0.212 0.530 0.470
0.470 0.788 0.212
0.530 0.212 0.788
0.788 0.470 0.530
0.000 0.000 0.500
0.250 0.250 0.250
0.500 0.500 0.000
0.500 0.500 0.500
0.750 0.750 0.750
```

Output
ΔE_f: -0.51 eV/atom
crystal system: orthorhombic

---

[16]
This record from the Alexandria database describes a relaxed Tb2Ga9Ni3 crystal. The functional is PBE.

Cell and atoms, written as POSCAR:
```
Tb2Ga9Ni3
1.0
6.453 -3.724 0.000
6.453 3.724 0.000
-4.327 0.000 9.487
Tb Ga Ni
4 18 6
direct
0.084 0.251 0.251
0.251 0.084 0.751
0.749 0.916 0.249
0.916 0.749 0.749
0.022 0.857 0.069
0.143 0.978 0.431
0.190 0.356 0.571
0.206 0.583 0.251
0.312 0.481 0.941
0.356 0.190 0.071
0.371 0.629 0.750
0.417 0.794 0.249
0.481 0.312 0.441
0.519 0.688 0.559
0.583 0.206 0.751
0.629 0.371 0.250
0.644 0.810 0.929
0.688 0.519 0.059
0.794 0.417 0.749
0.810 0.644 0.429
0.857 0.022 0.569
0.978 0.143 0.931
0.000 0.500 0.000
0.162 0.668 0.499
0.332 0.838 0.001
0.500 0.000 0.500
0.668 0.162 0.999
0.838 0.332 0.501
```

Output
ΔE_f: -0.50 eV/atom
crystal system: monoclinic

---

[17]
This record from the Alexandria database describes a relaxed Tb2Ga3Ni5 crystal. The functional is PBE.

Cell and atoms, written as POSCAR:
```
Tb2Ga3Ni5
1.0
2.093 -10.560 0.000
2.093 10.560 0.000
0.000 0.000 7.092
Tb Ga Ni
4 6 10
direct
0.016 0.984 0.500
0.346 0.654 0.988
0.654 0.346 0.488
0.984 0.016 0.000
0.120 0.880 0.170
0.243 0.757 0.660
0.442 0.558 0.298
0.558 0.442 0.798
0.757 0.243 0.160
0.880 0.120 0.670
0.119 0.881 0.787
0.217 0.783 0.987
0.238 0.762 0.327
0.348 0.652 0.486
0.445 0.555 0.696
0.555 0.445 0.196
0.652 0.348 0.986
0.762 0.238 0.827
0.783 0.217 0.487
0.881 0.119 0.287
```

Output
ΔE_f: -0.50 eV/atom
crystal system: orthorhombic
distance to the lowest polymorph of the same formula: 0 meV/atom

---

[18]
This record from the Alexandria database describes a relaxed TbGa4Ni6 crystal. The functional is PBE.

Cell and atoms, written as POSCAR:
```
TbGa4Ni6
1.0
-3.068 3.068 4.435
3.068 -3.068 4.435
3.068 3.068 -4.435
Tb Ga Ni
1 4 6
direct
0.000 0.000 0.000
0.106 0.509 0.000
0.491 0.491 0.597
0.509 0.106 0.000
0.894 0.894 0.403
0.000 0.500 0.500
0.255 0.255 0.680
0.425 0.745 0.000
0.500 0.000 0.500
0.575 0.575 0.320
0.745 0.425 0.000
```

Output
ΔE_f: -0.25 eV/atom
crystal system: tetragonal